VASP calculation (PBEsol) on a relaxed Cr2SiMo crystal.

Cell: 2.6484 2.6484 7.1034 Å, 90.00 90.00 90.00°
Sites, in units of the cell vectors:
Cr1 0.0000 0.0000 0.2238
Cr2 0.0000 0.0000 0.7762
Si1 0.5000 0.5000 0.0000
Mo1 0.5000 0.5000 0.5000

Summary:
ρ in Mg/m³: 7.6
E_form (uncorrected) in eV per atom: 0.109

=====

VASP calculation (PBEsol) on a relaxed WBrCl2 crystal.

Cell: 6.6868 6.6868 6.6868 Å, 153.92 137.56 50.50°
Sites, in units of the cell vectors:
W1 0.0000 0.0000 0.0000
Br1 0.5000 0.5000 0.0000
Cl1 0.1568 0.6568 0.5000
Cl2 0.8432 0.3432 0.5000

Summary:
ρ in Mg/m³: 6.3
E_form (uncorrected) in eV per atom: -0.160